DFT (PBE+U) results for a relaxed CaMnAuO2 crystal.

Output
V ... 97.7 Å³ per cell
Crystal system ... tetragonal
Final energy ... -25.38 eV per cell
Space-group type ... No. 123

Lattice parameters (Å, degrees): 3.903 6.411 3.903 90.00 90.00 90.00
Sites, in units of the cell vectors:
Ca 0.000 0.500 0.000
Mn 0.000 0.000 0.000
Au 0.500 0.500 0.500
O 0.000 0.000 0.500
O 0.500 0.000 0.000